A plane-wave DFT calculation with meta-GGA SCAN was carried out for a PBEsol-optimized structure of MnZnAu2.

Its energy of formation from the pure elements is -0.345 eV per atom.

a = 4.835 Å, b = 4.835 Å, c = 4.483 Å
α = 104.65°, β = 104.65°, γ = 37.80°
Fractional coordinates of all 4 atoms:
Mn1 0.000 0.000 0.000
Zn1 0.255 0.255 0.707
Au1 0.509 0.509 0.510
Au2 0.745 0.745 0.194